Compound: ZrScAg2
Source: Alexandria via LeMat-Bulk
Functional: PBEsol
Structure: relaxed

Cell and atoms, written as CIF:
```
data_ZrScAg2
_chemical_formula_sum 'Zr3 Sc3 Ag6'
_symmetry_space_group_name_H-M 'R -3 m'
_symmetry_Int_Tables_number 166
_symmetry_space_group_name_Hall '-R 3 2"'
_cell_length_a 3.0373
_cell_length_b 3.0373
_cell_length_c 28.9466
_cell_angle_alpha 90.00
_cell_angle_beta 90.00
_cell_angle_gamma 120.00
loop_
_atom_site_label
_atom_site_type_symbol
_atom_site_fract_x
_atom_site_fract_y
_atom_site_fract_z
Zr1 Zr 0.0000 0.0000 0.0000
Sc1 Sc 0.0000 0.0000 0.5000
Ag1 Ag 0.0000 0.0000 0.2480
```

Output
As for the energy of formation: 0.031 eV/atom. The energy comes out at -66.58 eV per cell. Its energy above the most stable polymorph in this dataset is 0.201 eV per atom. The value obtained for the size of the total moment is 0.00 μB/f.u.